(1)
InPt2O6 | GGA-PBE | relaxed

The value obtained for the calculated total energy is -0.4160 Ry/atom. Its space group is P-31m.

a = 5.2716 Å, b = 5.2716 Å, c = 4.5553 Å
α = 90.00°, β = 90.00°, γ = 120.00°
With the nearest neighbours (Å) after each atom.
Fractional positions:
In 0.0000 0.0000 0.0000  6 O 2.22
Pt 0.3333 0.6667 0.5000  6 O 2.02
Pt 0.6667 0.3333 0.5000  6 O 2.02
O 0.0000 0.3557 0.7377  2 Pt 2.02, 1 In 2.22
O 0.0000 0.6443 0.2623  2 Pt 2.02, 1 In 2.22
O 0.3557 0.0000 0.7377  2 Pt 2.02, 1 In 2.22
O 0.3557 0.3557 0.2623  2 Pt 2.02, 1 In 2.22
O 0.6443 0.0000 0.2623  2 Pt 2.02, 1 In 2.22
O 0.6443 0.6443 0.7377  2 Pt 2.02, 1 In 2.22



(2)
In2PtO2 | GGA-PBE | relaxed

Its space group is I4/mmm. As for the distance to the lowest polymorph of the same formula: 0 meV per atom.

a = 4.7388 Å, b = 4.7388 Å, c = 7.2715 Å
α = 90.00°, β = 90.00°, γ = 90.00°
With the nearest neighbours (Å) after each atom.
Fractional positions:
In 0.0000 0.5000 0.2500  4 O 2.39
In 0.0000 0.5000 0.7500  4 O 2.39
In 0.5000 0.0000 0.2500  4 O 2.39
In 0.5000 0.0000 0.7500  4 O 2.39
Pt 0.0000 0.0000 0.0000  2 O 2.11
Pt 0.5000 0.5000 0.5000  2 O 2.11
O 0.0000 0.0000 0.2895  1 Pt 2.11
O 0.0000 0.0000 0.7105  1 Pt 2.11
O 0.5000 0.5000 0.2105  1 Pt 2.11
O 0.5000 0.5000 0.7895  1 Pt 2.11



(3)
InPt2O | GGA-PBE | relaxed

Its space group is Fm-3m. As for the distance to the lowest polymorph of the same formula: 291 meV per atom.

a = 6.2655 Å, b = 6.2655 Å, c = 6.2655 Å
α = 90.00°, β = 90.00°, γ = 90.00°
With the nearest neighbours (Å) after each atom.
Fractional positions:
In 0.0000 0.0000 0.0000  8 Pt 2.71
In 0.0000 0.5000 0.5000  8 Pt 2.71
In 0.5000 0.0000 0.5000  8 Pt 2.71
In 0.5000 0.5000 0.0000  8 Pt 2.71
Pt 0.2500 0.2500 0.2500  4 O 2.71, 4 In 2.71
Pt 0.2500 0.2500 0.7500  4 O 2.71, 4 In 2.71
Pt 0.2500 0.7500 0.2500  4 O 2.71, 4 In 2.71
Pt 0.2500 0.7500 0.7500  4 O 2.71, 4 In 2.71
Pt 0.7500 0.2500 0.2500  4 O 2.71, 4 In 2.71
Pt 0.7500 0.2500 0.7500  4 O 2.71, 4 In 2.71
Pt 0.7500 0.7500 0.2500  4 O 2.71, 4 In 2.71
Pt 0.7500 0.7500 0.7500  4 O 2.71, 4 In 2.71
O 0.0000 0.0000 0.5000  8 Pt 2.71
O 0.0000 0.5000 0.0000  8 Pt 2.71
O 0.5000 0.0000 0.0000  8 Pt 2.71
O 0.5000 0.5000 0.5000  8 Pt 2.71



(4)
In2PtO | GGA-PBE | relaxed

The value obtained for the calculated total energy is -0.3527 Ry/atom. Its space group is I-42d.

a = 6.3929 Å, b = 6.3929 Å, c = 7.2221 Å
α = 90.00°, β = 90.00°, γ = 90.00°
With the nearest neighbours (Å) after each atom.
Fractional positions:
In 0.1958 0.7500 0.1250  2 O 2.22
In 0.2500 0.1958 0.8750  2 O 2.22
In 0.2500 0.3042 0.3750  2 O 2.22
In 0.3042 0.7500 0.6250  2 O 2.22
In 0.6958 0.2500 0.6250  2 O 2.22
In 0.7500 0.6958 0.3750  2 O 2.22
In 0.7500 0.8042 0.8750  2 O 2.22
In 0.8042 0.2500 0.1250  2 O 2.22
Pt 0.0000 0.0000 0.5000  4 In 2.67
Pt 0.0000 0.5000 0.7500  4 In 2.67
Pt 0.5000 0.0000 0.2500  4 In 2.67
Pt 0.5000 0.5000 0.0000  4 In 2.67
O 0.0000 0.0000 0.0000  4 In 2.22
O 0.0000 0.5000 0.2500  4 In 2.22
O 0.5000 0.0000 0.7500  4 In 2.22
O 0.5000 0.5000 0.5000  4 In 2.22



(5)
InPt3O6 | GGA-PBE | relaxed

The value obtained for the calculated total energy is -0.4252 Ry/atom. Its space group is Cmmm.

a = 6.1643 Å, b = 6.1643 Å, c = 3.4573 Å
α = 90.00°, β = 90.00°, γ = 109.80°
With the nearest neighbours (Å) after each atom.
Fractional positions:
In 0.0000 0.0000 0.0000  8 O 2.29-2.43
Pt 0.0000 0.5000 0.5000  6 O 2.04-2.13
Pt 0.5000 0.0000 0.5000  6 O 2.04-2.13
Pt 0.5000 0.5000 0.0000  4 O 1.99
O 0.1494 0.8506 0.5000  2 Pt 2.04
O 0.1580 0.4181 0.0000  3 Pt 1.99-2.13
O 0.4181 0.1580 0.0000  3 Pt 1.99-2.13
O 0.5819 0.8420 0.0000  3 Pt 1.99-2.13
O 0.8420 0.5819 0.0000  3 Pt 1.99-2.13
O 0.8506 0.1494 0.5000  2 Pt 2.04



(6)
PuInPtO6 | GGA-PBE | relaxed

The value obtained for the calculated total energy is -0.5501 Ry/atom. Its space group is P-31c.

a = 5.3356 Å, b = 5.3356 Å, c = 9.5675 Å
α = 90.00°, β = 90.00°, γ = 120.00°
With the nearest neighbours (Å) after each atom.
Fractional positions:
Pu 0.3333 0.6667 0.2500  6 O 2.14
Pu 0.6667 0.3333 0.7500  6 O 2.14
In 0.0000 0.0000 0.0000  6 O 2.21
In 0.0000 0.0000 0.5000  6 O 2.21
Pt 0.3333 0.6667 0.7500  6 O 2.05
Pt 0.6667 0.3333 0.2500  6 O 2.05
O 0.0136 0.3499 0.6300  1 Pt 2.05, 1 Pu 2.14, 1 In 2.21
O 0.0136 0.6637 0.8700  1 Pt 2.05, 1 Pu 2.14, 1 In 2.21
O 0.3363 0.3499 0.8700  1 Pt 2.05, 1 Pu 2.14, 1 In 2.21
O 0.3363 0.9864 0.6300  1 Pt 2.05, 1 Pu 2.14, 1 In 2.21
O 0.3499 0.0136 0.1300  1 Pt 2.05, 1 Pu 2.14, 1 In 2.21
O 0.3499 0.3363 0.3700  1 Pt 2.05, 1 Pu 2.14, 1 In 2.21
O 0.6501 0.6637 0.6300  1 Pt 2.05, 1 Pu 2.14, 1 In 2.21
O 0.6501 0.9864 0.8700  1 Pt 2.05, 1 Pu 2.14, 1 In 2.21
O 0.6637 0.0136 0.3700  1 Pt 2.05, 1 Pu 2.14, 1 In 2.21
O 0.6637 0.6501 0.1300  1 Pt 2.05, 1 Pu 2.14, 1 In 2.21
O 0.9864 0.3363 0.1300  1 Pt 2.05, 1 Pu 2.14, 1 In 2.21
O 0.9864 0.6501 0.3700  1 Pt 2.05, 1 Pu 2.14, 1 In 2.21



(7)
PuIn2PtO8 | GGA-PBE | relaxed

The value obtained for the calculated total energy is -0.5149 Ry/atom. Its space group is P2/m.

a = 4.9595 Å, b = 6.4948 Å, c = 4.9725 Å
α = 90.00°, β = 92.32°, γ = 90.00°
With the nearest neighbours (Å) after each atom.
Fractional positions:
Pu 0.0000 0.0000 0.0000  6 O 2.08-2.10
In 0.5000 0.2588 0.5000  6 O 2.11-2.28
In 0.5000 0.7412 0.5000  6 O 2.11-2.28
Pt 0.0000 0.5000 0.0000  6 O 2.03-2.06
O 0.1833 0.2546 0.8203  1 Pt 2.06, 1 Pu 2.10, 1 In 2.28
O 0.1833 0.7454 0.8203  1 Pt 2.06, 1 Pu 2.10, 1 In 2.28
O 0.2927 0.5000 0.2967  1 Pt 2.03, 2 In 2.11
O 0.3004 0.0000 0.3042  1 Pu 2.08, 2 In 2.16
O 0.6996 0.0000 0.6958  1 Pu 2.08, 2 In 2.16
O 0.7073 0.5000 0.7033  1 Pt 2.03, 2 In 2.11
O 0.8167 0.2546 0.1797  1 Pt 2.06, 1 Pu 2.10, 1 In 2.28
O 0.8167 0.7454 0.1797  1 Pt 2.06, 1 Pu 2.10, 1 In 2.28



(8)
Rb2InPtO4 | GGA-PBE | relaxed

The value obtained for the calculated total energy is -0.3533 Ry/atom. Its space group is Fddd.

a = 12.8726 Å, b = 11.1942 Å, c = 7.7228 Å
α = 83.61°, β = 59.79°, γ = 36.60°
With the nearest neighbours (Å) after each atom.
Fractional positions:
Rb 0.0552 0.0552 0.6948  2 O 2.66
Rb 0.3052 0.3052 0.9448  2 O 2.66
Rb 0.6948 0.6948 0.0552  2 O 2.66
Rb 0.9448 0.9448 0.3052  2 O 2.66
In 0.1250 0.1250 0.1250  4 O 2.12
In 0.8750 0.8750 0.8750  4 O 2.12
Pt 0.3750 0.3750 0.3750  4 O 1.99
Pt 0.6250 0.6250 0.6250  4 O 1.99
O 0.0429 0.7059 0.5169  1 Pt 1.99, 1 In 2.12
O 0.2343 0.5169 0.7059  1 Pt 1.99, 1 In 2.12
O 0.2941 0.9571 0.7657  1 Pt 1.99, 1 In 2.12
O 0.4831 0.7657 0.9571  1 Pt 1.99, 1 In 2.12
O 0.5169 0.2343 0.0429  1 Pt 1.99, 1 In 2.12
O 0.7059 0.0429 0.2343  1 Pt 1.99, 1 In 2.12
O 0.7657 0.4831 0.2941  1 Pt 1.99, 1 In 2.12
O 0.9571 0.2941 0.4831  1 Pt 1.99, 1 In 2.12



(9)
InPtRhO6 | GGA-PBE | relaxed

The value obtained for the calculated total energy is -0.4314 Ry/atom. Its space group is P4_2nm.

a = 4.6829 Å, b = 4.6829 Å, c = 9.7179 Å
α = 90.00°, β = 90.00°, γ = 90.00°
With the nearest neighbours (Å) after each atom.
Fractional positions:
In 0.0000 0.0000 0.0000  6 O 2.12-2.13
In 0.5000 0.5000 0.5000  6 O 2.12-2.13
Pt 0.0000 0.0000 0.3325  6 O 2.00-2.04
Pt 0.5000 0.5000 0.8325  6 O 2.00-2.04
Rh 0.0000 0.0000 0.6685  6 O 1.99-2.03
Rh 0.5000 0.5000 0.1685  6 O 1.99-2.03
O 0.1797 0.1797 0.5009  1 Rh 2.02, 1 Pt 2.02, 1 In 2.12
O 0.1975 0.1975 0.8276  1 Pt 2.00, 1 Rh 2.03, 1 In 2.13
O 0.1990 0.1990 0.1727  1 Rh 1.99, 1 Pt 2.04, 1 In 2.13
O 0.3010 0.6990 0.6727  1 Rh 1.99, 1 Pt 2.04, 1 In 2.13
O 0.3025 0.6975 0.3276  1 Pt 2.00, 1 Rh 2.03, 1 In 2.13
O 0.3203 0.6797 0.0009  1 Rh 2.02, 1 Pt 2.02, 1 In 2.12
O 0.6797 0.3203 0.0009  1 Rh 2.02, 1 Pt 2.02, 1 In 2.12
O 0.6975 0.3025 0.3276  1 Pt 2.00, 1 Rh 2.03, 1 In 2.13
O 0.6990 0.3010 0.6727  1 Rh 1.99, 1 Pt 2.04, 1 In 2.13
O 0.8010 0.8010 0.1727  1 Rh 1.99, 1 Pt 2.04, 1 In 2.13
O 0.8025 0.8025 0.8276  1 Pt 2.00, 1 Rh 2.03, 1 In 2.13
O 0.8203 0.8203 0.5009  1 Rh 2.02, 1 Pt 2.02, 1 In 2.12



(10)
InPt2RhO | GGA-PBE | relaxed

The value obtained for the calculated total energy is -0.2639 Ry/atom. Its space group is P4/mmm.

a = 4.9707 Å, b = 4.9707 Å, c = 5.0340 Å
α = 90.00°, β = 90.00°, γ = 90.00°
With the nearest neighbours (Å) after each atom.
Fractional positions:
In 0.0000 0.0000 0.0000  4 Pt 2.49, 2 Rh 2.52
Pt 0.0000 0.5000 0.0000  2 In 2.49
Pt 0.5000 0.0000 0.0000  2 In 2.49
Rh 0.0000 0.0000 0.5000  2 In 2.52
O 0.5000 0.5000 0.5000  4 Rh 3.51, 8 Pt 3.54